No. 1
VASP calculation (PBE) on a geometry-optimized BeAl2FeCu4 structure.

Results
**Energy above the lowest structure with this stoichiometry**: 1 kJ/mol of formula units

Unit cell a=3.954 b=3.954 c=6.022 alpha=90.00 beta=90.00 gamma=90.00
Space group P4/mmm (No. 123)
Symmetry-distinct sites (fractional):
Be (0.000, 0.000, 0.000)
Al (0.000, 0.000, 0.500)
Al (0.500, 0.500, 0.000)
Fe (0.500, 0.500, 0.500)
Cu (0.000, 0.500, 0.236)

---

No. 2
VASP calculation (PBE) on a geometry-optimized HfBeAlCu structure.

Results
**Energy above the lowest structure with this stoichiometry**: 0 kJ/mol of formula units

Unit cell a=6.095 b=6.095 c=6.095 alpha=90.00 beta=90.00 gamma=90.00
Space group F-43m (No. 216)
Symmetry-distinct sites (fractional):
Hf (0.000, 0.000, 0.000)
Be (0.250, 0.250, 0.250)
Al (0.000, 0.000, 0.500)
Cu (0.250, 0.250, 0.750)

---

No. 3
VASP calculation (PBE) on a geometry-optimized HfBeAlCu structure.

Results
**Energy above the lowest structure with this stoichiometry**: 76 kJ/mol of formula units

Unit cell a=6.147 b=6.147 c=6.147 alpha=90.00 beta=90.00 gamma=90.00
Space group F-43m (No. 216)
Symmetry-distinct sites (fractional):
Hf (0.000, 0.000, 0.000)
Be (0.250, 0.250, 0.750)
Al (0.250, 0.250, 0.250)
Cu (0.000, 0.000, 0.500)

---

No. 4
VASP calculation (PBE) on a geometry-optimized BeAlCuIr structure.

Results
**Energy above the lowest structure with this stoichiometry**: 82 kJ/mol of formula units

Unit cell a=5.809 b=5.809 c=5.809 alpha=90.00 beta=90.00 gamma=90.00
Space group F-43m (No. 216)
Symmetry-distinct sites (fractional):
Be (0.000, 0.000, 0.000)
Al (0.250, 0.250, 0.250)
Cu (0.000, 0.000, 0.500)
Ir (0.250, 0.250, 0.750)

---

No. 5
VASP calculation (PBE) on a geometry-optimized BeAlCuIr structure.

Results
**Energy above the lowest structure with this stoichiometry**: 0 kJ/mol of formula units

Unit cell a=5.809 b=5.809 c=5.809 alpha=90.00 beta=90.00 gamma=90.00
Space group F-43m (No. 216)
Symmetry-distinct sites (fractional):
Be (0.000, 0.000, 0.000)
Al (0.000, 0.000, 0.500)
Cu (0.250, 0.250, 0.750)
Ir (0.250, 0.250, 0.250)

---

No. 6
VASP calculation (PBE) on a geometry-optimized LuBeAlCu structure.

Results
**Energy above the lowest structure with this stoichiometry**: 0 kJ/mol of formula units

Unit cell a=6.250 b=6.250 c=6.250 alpha=90.00 beta=90.00 gamma=90.00
Space group F-43m (No. 216)
Symmetry-distinct sites (fractional):
Lu (0.000, 0.000, 0.000)
Be (0.250, 0.250, 0.250)
Al (0.000, 0.000, 0.500)
Cu (0.250, 0.250, 0.750)

---

No. 7
VASP calculation (PBE) on a geometry-optimized LuBeAlCu structure.

Results
**Energy above the lowest structure with this stoichiometry**: 86 kJ/mol of formula units

Unit cell a=6.304 b=6.304 c=6.304 alpha=90.00 beta=90.00 gamma=90.00
Space group F-43m (No. 216)
Symmetry-distinct sites (fractional):
Lu (0.000, 0.000, 0.000)
Be (0.250, 0.250, 0.750)
Al (0.250, 0.250, 0.250)
Cu (0.000, 0.000, 0.500)

---

No. 8
VASP calculation (PBE) on a geometry-optimized BeNbAlCu structure.

Results
**Energy above the lowest structure with this stoichiometry**: 0 kJ/mol of formula units

Unit cell a=5.996 b=5.996 c=5.996 alpha=90.00 beta=90.00 gamma=90.00
Space group F-43m (No. 216)
Symmetry-distinct sites (fractional):
Be (0.000, 0.000, 0.000)
Nb (0.250, 0.250, 0.750)
Al (0.250, 0.250, 0.250)
Cu (0.000, 0.000, 0.500)

---

Magnetization values, unit μB per atom, following the record order: 0.303, 0.000, 0.000, 0.001, 0.000, 0.000, 0.000, 0.144.